(1)
# NaPdPb

Crystalline NaPdPb at its relaxed geometry (GGA-PBE, Alexandria).

The structure in CIF format:
```
data_NaPdPb
_cell_length_a 4.904
_cell_length_b 4.904
_cell_length_c 3.195
_cell_angle_alpha 90.00
_cell_angle_beta 90.00
_cell_angle_gamma 120.00
_symmetry_space_group_name_H-M 'P 1'
_symmetry_Int_Tables_number 1
loop_
_symmetry_equiv_pos_as_xyz
'x,y,z'
loop_
_atom_site_label
_atom_site_type_symbol
_atom_site_fract_x
_atom_site_fract_y
_atom_site_fract_z
_atom_site_occupancy
Na1 Na 0.000 0.000 0.000 1
Pd1 Pd 0.333 0.667 0.501 1
Pb1 Pb 0.667 0.333 0.499 1
```

Values from the calculation:
* calculated total energy: -10.77 eV for the cell shown
* total magnetic moment: 0.0 μB/cell

***

(2)
# NaPdPb2

Crystalline NaPdPb2 at its relaxed geometry (GGA-PBE, Alexandria).

The structure in CIF format:
```
data_NaPdPb2
_cell_length_a 4.803
_cell_length_b 4.803
_cell_length_c 4.100
_cell_angle_alpha 90.00
_cell_angle_beta 90.00
_cell_angle_gamma 90.00
_symmetry_space_group_name_H-M 'P 1'
_symmetry_Int_Tables_number 1
loop_
_symmetry_equiv_pos_as_xyz
'x,y,z'
loop_
_atom_site_label
_atom_site_type_symbol
_atom_site_fract_x
_atom_site_fract_y
_atom_site_fract_z
_atom_site_occupancy
Na1 Na 0.000 0.000 0.000 1
Pd1 Pd 0.500 0.500 0.000 1
Pb1 Pb 0.000 0.500 0.500 1
Pb2 Pb 0.500 0.000 0.500 1
```

Values from the calculation:
* calculated total energy: -14.31 eV for the cell shown
* total magnetic moment: 0.0 μB/cell